Entry 1:
{"formula": "Tb2NdTaO8", "functional": "PBE", "state": "relaxed", "sg": "P-1, No. 2", "e_form_raw_mev_per_atom": -2881, "lattice": [[-1.201, -1.065, 3.443], [5.124, -1.724, 1.251], [1.293, 6.678, 2.966]], "species": ["Tb", "Tb", "Nd", "Ta", "O", "O", "O", "O", "O", "O", "O", "O"], "fractional_positions": [[0.482, 0.518, 0.746], [0.518, 0.482, 0.254], [0.000, 0.000, 0.500], [0.000, 0.000, 0.000], [0.012, 0.752, 0.206], [0.478, 0.789, 0.018], [0.017, 0.232, 0.213], [0.988, 0.248, 0.794], [0.522, 0.211, 0.982], [0.983, 0.768, 0.787], [0.504, 0.739, 0.494], [0.496, 0.261, 0.506]]}

***

Entry 2:
{"formula": "NdTaTiO6", "functional": "PBE", "state": "relaxed", "sg": "P-31c, No. 163", "e_form_raw_mev_per_atom": -3138, "lattice": [[5.242, 0.000, 0.000], [-2.621, 4.540, 0.000], [0.000, 0.000, 10.185]], "species": ["Nd", "Nd", "Ta", "Ta", "Ti", "Ti", "O", "O", "O", "O", "O", "O", "O", "O", "O", "O", "O", "O"], "fractional_positions": [[0.000, 0.000, 0.000], [0.000, 0.000, 0.500], [0.667, 0.333, 0.250], [0.333, 0.667, 0.750], [0.333, 0.667, 0.250], [0.667, 0.333, 0.750], [0.631, 0.633, 0.143], [0.003, 0.369, 0.143], [0.369, 0.003, 0.643], [0.997, 0.631, 0.857], [0.367, 0.369, 0.357], [0.003, 0.633, 0.357], [0.633, 0.003, 0.857], [0.631, 0.997, 0.357], [0.997, 0.367, 0.643], [0.367, 0.997, 0.143], [0.633, 0.631, 0.643], [0.369, 0.367, 0.857]]}

***

Entry 3:
{"formula": "NdTaTiO6", "functional": "PBE", "state": "relaxed", "sg": "Pna2_1, No. 33", "e_form_raw_mev_per_atom": -3162, "lattice": [[5.390, 0.000, 0.000], [0.000, 7.547, 0.000], [0.000, 0.000, 11.111]], "species": ["Nd", "Nd", "Nd", "Nd", "Ta", "Ta", "Ta", "Ta", "Ti", "Ti", "Ti", "Ti", "O", "O", "O", "O", "O", "O", "O", "O", "O", "O", "O", "O", "O", "O", "O", "O", "O", "O", "O", "O", "O", "O", "O", "O"], "fractional_positions": [[0.456, 0.749, 0.956], [0.044, 0.749, 0.456], [0.544, 0.249, 0.044], [0.956, 0.249, 0.544], [0.463, 0.506, 0.644], [0.537, 0.006, 0.356], [0.963, 0.006, 0.856], [0.037, 0.506, 0.144], [0.035, 0.992, 0.142], [0.965, 0.492, 0.858], [0.535, 0.492, 0.358], [0.465, 0.992, 0.642], [0.160, 0.752, 0.121], [0.340, 0.752, 0.621], [0.840, 0.252, 0.879], [0.660, 0.252, 0.379], [0.628, 0.560, 0.792], [0.875, 0.941, 0.287], [0.372, 0.060, 0.208], [0.125, 0.441, 0.713], [0.375, 0.441, 0.213], [0.128, 0.060, 0.708], [0.625, 0.941, 0.787], [0.872, 0.560, 0.292], [0.048, 0.749, 0.856], [0.452, 0.749, 0.356], [0.952, 0.249, 0.144], [0.548, 0.249, 0.644], [0.236, 0.039, 0.971], [0.270, 0.462, 0.475], [0.764, 0.539, 0.029], [0.730, 0.962, 0.525], [0.770, 0.962, 0.025], [0.736, 0.539, 0.529], [0.230, 0.462, 0.975], [0.264, 0.039, 0.471]]}

***

no.,V (Å³ per atom)
1,13.0
2,13.5
3,12.6